Li2Ca3In | PBE | relaxed

Summary:
Electronic total energy   -27.5 eV/cell
Magnetization   0.0 μB/cell
Energy of formation from the pure elements   -0.196 eV per atom

a = 5.499 Å, b = 5.499 Å, c = 13.499 Å
α = 90.00°, β = 90.00°, γ = 120.00°
Fractional positions:
Li 0.000 0.000 0.000
Li 0.333 0.667 0.175
Li 0.000 0.000 0.500
Li 0.667 0.333 0.825
Ca 0.667 0.333 0.581
Ca 0.667 0.333 0.087
Ca 0.000 0.000 0.256
Ca 0.333 0.667 0.913
Ca 0.000 0.000 0.744
Ca 0.333 0.667 0.419
In 0.667 0.333 0.334
In 0.333 0.667 0.666